1.
KSbNF2: PBEsol geometry, meta-GGA SCAN.

Calculated values
Formation energy (no corrections) ... -1314 meV/atom
Total magnetic moment ... 0.0 Bohr magnetons per cell
Final energy ... -13.706 eV/atom
Fermi-level density of states ... 0.056 states/eV per atom

Cell lengths 4.5460, 4.5460, 4.0126 Å; angles 90.00, 90.00, 90.00 degrees
Space group P4/mmm (No. 123)
Inequivalent atoms, fractional coordinates:
K (0.0000, 0.0000, 0.0000) [1 per cell]
Sb (0.5000, 0.5000, 0.5000) [1 per cell]
N (0.5000, 0.5000, 0.0000) [1 per cell]
F (0.0000, 0.5000, 0.5000) [2 per cell]


2.
CdSn2Hg: PBEsol geometry, meta-GGA SCAN.

Calculated values
Total magnetic moment ... 0.0 Bohr magnetons per cell
Final energy ... -42.402 eV/atom
Fermi-level density of states ... 0.586 states/eV per atom
Distance to the lowest polymorph of the same formula ... 6.6 kJ per mole of atoms

Cell lengths 7.3033, 7.3033, 7.3033 Å; angles 90.00, 90.00, 90.00 degrees
Space group Fm-3m (No. 225)
Inequivalent atoms, fractional coordinates:
Cd (0.0000, 0.0000, 0.0000) [4 per cell]
Sn (0.2500, 0.2500, 0.2500) [8 per cell]
Hg (0.0000, 0.0000, 0.5000) [4 per cell]


3.
Zn2CoOs: PBEsol geometry, meta-GGA SCAN.

Calculated values
Total magnetic moment ... 10.3 Bohr magnetons per cell
Final energy ... -28.857 eV/atom
Fermi-level density of states ... 0.527 states/eV per atom
Distance to the lowest polymorph of the same formula ... 8.0 kJ per mole of atoms

Cell lengths 5.8784, 5.8784, 5.8784 Å; angles 90.00, 90.00, 90.00 degrees
Space group F-43m (No. 216)
Inequivalent atoms, fractional coordinates:
Zn (0.0000, 0.0000, 0.0000) [4 per cell]
Zn (0.2500, 0.2500, 0.2500) [4 per cell]
Co (0.2500, 0.2500, 0.7500) [4 per cell]
Os (0.0000, 0.0000, 0.5000) [4 per cell]


4.
Zr3Zn: PBEsol geometry, meta-GGA SCAN.

Calculated values
Total magnetic moment ... 0.0 Bohr magnetons per cell
Final energy ... -26.529 eV/atom
Fermi-level density of states ... 0.953 states/eV per atom

Cell lengths 3.1140, 3.8372, 6.5922 Å; angles 90.00, 90.00, 90.00 degrees
Space group Pmmm (No. 47)
Inequivalent atoms, fractional coordinates:
Zr (0.0000, 0.0000, 0.0000) [1 per cell]
Zr (0.5000, 0.5000, 0.2670) [2 per cell]
Zn (0.0000, 0.0000, 0.5000) [1 per cell]


5.
CdP2W: PBEsol geometry, meta-GGA SCAN.

Calculated values
Total magnetic moment ... 0.0 Bohr magnetons per cell
Final energy ... -29.553 eV/atom
Fermi-level density of states ... 0.841 states/eV per atom
Distance to the lowest polymorph of the same formula ... 64.0 kJ per mole of atoms

Cell lengths 6.2546, 6.2546, 6.2546 Å; angles 90.00, 90.00, 90.00 degrees
Space group Fm-3m (No. 225)
Inequivalent atoms, fractional coordinates:
Cd (0.0000, 0.0000, 0.0000) [4 per cell]
P (0.2500, 0.2500, 0.2500) [8 per cell]
W (0.0000, 0.0000, 0.5000) [4 per cell]


6.
AgAs2SeI: PBEsol geometry, meta-GGA SCAN.

Calculated values
Formation energy (no corrections) ... 862 meV/atom
Total magnetic moment ... 0.6 Bohr magnetons per cell
Final energy ... -24.852 eV/atom
Fermi-level density of states ... 1.001 states/eV per atom

Cell lengths 5.0434, 5.0434, 4.9056 Å; angles 90.00, 90.00, 90.00 degrees
Space group P4/mmm (No. 123)
Inequivalent atoms, fractional coordinates:
Ag (0.0000, 0.0000, 0.0000) [1 per cell]
As (0.0000, 0.5000, 0.0000) [2 per cell]
Se (0.0000, 0.0000, 0.5000) [1 per cell]
I (0.5000, 0.5000, 0.5000) [1 per cell]


7.
InS2N: PBEsol geometry, meta-GGA SCAN.

Calculated values
Formation energy (no corrections) ... 781 meV/atom
Total magnetic moment ... 0.0 Bohr magnetons per cell
Final energy ... -14.703 eV/atom
Fermi-level density of states ... 0.426 states/eV per atom
Distance to the lowest polymorph of the same formula ... 29.3 kJ per mole of atoms

Cell lengths 5.1290, 5.1290, 11.0802 Å; angles 90.00, 90.00, 90.00 degrees
Space group I-42d (No. 122)
Inequivalent atoms, fractional coordinates:
In (0.0000, 0.0000, 0.0000) [4 per cell]
S (0.1204, 0.2500, 0.6250) [8 per cell]
N (0.0000, 0.0000, 0.5000) [4 per cell]


8.
BeReOs2N: PBEsol geometry, meta-GGA SCAN.

Calculated values
Formation energy (no corrections) ... 2000 meV/atom
Total magnetic moment ... 2.1 Bohr magnetons per cell
Final energy ... -43.700 eV/atom
Fermi-level density of states ... 0.723 states/eV per atom

Cell lengths 4.7787, 4.7787, 3.6780 Å; angles 90.00, 90.00, 90.00 degrees
Space group P4/mmm (No. 123)
Inequivalent atoms, fractional coordinates:
Be (0.0000, 0.0000, 0.0000) [1 per cell]
Re (0.5000, 0.5000, 0.5000) [1 per cell]
Os (0.0000, 0.5000, 0.5000) [2 per cell]
N (0.5000, 0.5000, 0.0000) [1 per cell]


9.
Si2Te: PBEsol geometry, meta-GGA SCAN.

Calculated values
Formation energy (no corrections) ... 293 meV/atom
Total magnetic moment ... 0.0 Bohr magnetons per cell
Final energy ... -18.801 eV/atom
Fermi-level density of states ... 0.385 states/eV per atom
Distance to the lowest polymorph of the same formula ... 25.7 kJ per mole of atoms

Cell lengths 11.6484, 3.8772, 6.4781 Å; angles 90.00, 107.68, 90.00 degrees
Space group C2/m (No. 12)
Inequivalent atoms, fractional coordinates:
Si (0.1971, 0.0000, 0.4041) [4 per cell]
Si (0.2293, 0.5000, 0.8937) [4 per cell]
Te (0.0074, 0.5000, 0.2567) [4 per cell]


10.
SrIn2Hg: PBEsol geometry, meta-GGA SCAN.

Calculated values
Total magnetic moment ... 0.0 Bohr magnetons per cell
Final energy ... -39.710 eV/atom
Fermi-level density of states ... 0.397 states/eV per atom

Cell lengths 4.7406, 4.7406, 17.5714 Å; angles 90.00, 90.00, 120.00 degrees
Space group R-3m (No. 166, hexagonal axes)
Inequivalent atoms, fractional coordinates:
Sr (0.0000, 0.0000, 0.0000) [3 per cell]
In (0.0000, 0.0000, 0.2221) [6 per cell]
Hg (0.0000, 0.0000, 0.5000) [3 per cell]


11.
CsTePI2: PBEsol geometry, meta-GGA SCAN.

Calculated values
Formation energy (no corrections) ... -416 meV/atom
Total magnetic moment ... 0.0 Bohr magnetons per cell
Final energy ... -32.204 eV/atom
Fermi-level density of states ... 0.275 states/eV per atom

Cell lengths 5.7589, 5.7589, 5.2585 Å; angles 90.00, 90.00, 90.00 degrees
Space group P4/mmm (No. 123)
Inequivalent atoms, fractional coordinates:
Cs (0.0000, 0.0000, 0.0000) [1 per cell]
Te (0.5000, 0.5000, 0.0000) [1 per cell]
P (0.5000, 0.5000, 0.5000) [1 per cell]
I (0.0000, 0.5000, 0.5000) [2 per cell]


12.
LiInPt2: PBEsol geometry, meta-GGA SCAN.

Calculated values
Total magnetic moment ... 0.0 Bohr magnetons per cell
Final energy ... -44.609 eV/atom
Fermi-level density of states ... 0.342 states/eV per atom

Cell lengths 2.9134, 4.5218, 4.7096 Å; angles 90.00, 90.00, 90.00 degrees
Space group Pmm2 (No. 25)
Inequivalent atoms, fractional coordinates:
Li (0.0000, 0.0000, 0.0000) [1 per cell]
In (0.0000, 0.5000, 0.3893) [1 per cell]
Pt (0.5000, 0.0000, 0.5220) [1 per cell]
Pt (0.5000, 0.5000, 0.8988) [1 per cell]


Repeat the twelfth record exactly.
LiInPt2: PBEsol geometry, meta-GGA SCAN.

Calculated values
Total magnetic moment ... 0.0 Bohr magnetons per cell
Final energy ... -44.609 eV/atom
Fermi-level density of states ... 0.342 states/eV per atom

Cell lengths 2.9134, 4.5218, 4.7096 Å; angles 90.00, 90.00, 90.00 degrees
Space group Pmm2 (No. 25)
Inequivalent atoms, fractional coordinates:
Li (0.0000, 0.0000, 0.0000) [1 per cell]
In (0.0000, 0.5000, 0.3893) [1 per cell]
Pt (0.5000, 0.0000, 0.5220) [1 per cell]
Pt (0.5000, 0.5000, 0.8988) [1 per cell]